Entry 1:
Density functional theory data (PBE) for an optimized crystal structure of BaCoRh2.

Calculated values
- mass density (Mg/m³) = 8.56
- calculated formation energy (eV/atom) = 0.404
- symmetry = Pmm2, No. 25

```
data_BaCoRh2
_chemical_formula_sum 'Ba1 Co1 Rh2'
_cell_length_a 2.997
_cell_length_b 3.626
_cell_length_c 7.177
_cell_angle_alpha 90.00
_cell_angle_beta 90.00
_cell_angle_gamma 90.00
_symmetry_space_group_name_H-M 'P 1'
_symmetry_Int_Tables_number 1
_symmetry_space_group_name_Hall 'P 1'
loop_
_atom_site_label
_atom_site_type_symbol
_atom_site_fract_x
_atom_site_fract_y
_atom_site_fract_z
Ba1 Ba 0.000 0.000 0.000
Co1 Co 0.500 0.500 0.343
Rh1 Rh 0.000 0.000 0.483
Rh2 Rh 0.500 0.500 0.685
```

Entry 2:
Density functional theory data (PBE) for an optimized crystal structure of BaCo2Rh2.

Calculated values
- mass density (Mg/m³) = 8.12
- calculated formation energy (eV/atom) = 0.203
- symmetry = I4/mmm, No. 139

```
data_BaCo2Rh2
_chemical_formula_sum 'Ba2 Co4 Rh4'
_cell_length_a 4.360
_cell_length_b 4.360
_cell_length_c 9.923
_cell_angle_alpha 90.00
_cell_angle_beta 90.00
_cell_angle_gamma 90.00
_symmetry_space_group_name_H-M 'P 1'
_symmetry_Int_Tables_number 1
_symmetry_space_group_name_Hall 'P 1'
loop_
_atom_site_label
_atom_site_type_symbol
_atom_site_fract_x
_atom_site_fract_y
_atom_site_fract_z
Ba1 Ba 0.000 0.000 0.000
Ba2 Ba 0.500 0.500 0.500
Co1 Co 0.000 0.000 0.375
Co2 Co 0.000 0.000 0.625
Co3 Co 0.500 0.500 0.125
Co4 Co 0.500 0.500 0.875
Rh1 Rh 0.000 0.500 0.250
Rh2 Rh 0.000 0.500 0.750
Rh3 Rh 0.500 0.000 0.250
Rh4 Rh 0.500 0.000 0.750
```

Entry 3:
Density functional theory data (PBE) for an optimized crystal structure of BaCo2Rh.

Calculated values
- mass density (Mg/m³) = 8.24
- calculated formation energy (eV/atom) = 0.858
- symmetry = Cmmm, No. 65

```
data_BaCo2Rh
_chemical_formula_sum 'Ba2 Co4 Rh2'
_cell_length_a 6.494
_cell_length_b 6.777
_cell_length_c 3.279
_cell_angle_alpha 90.00
_cell_angle_beta 90.00
_cell_angle_gamma 90.00
_symmetry_space_group_name_H-M 'P 1'
_symmetry_Int_Tables_number 1
_symmetry_space_group_name_Hall 'P 1'
loop_
_atom_site_label
_atom_site_type_symbol
_atom_site_fract_x
_atom_site_fract_y
_atom_site_fract_z
Ba1 Ba 0.000 0.000 0.000
Ba2 Ba 0.500 0.500 0.000
Co1 Co 0.250 0.250 0.500
Co2 Co 0.250 0.750 0.500
Co3 Co 0.750 0.250 0.500
Co4 Co 0.750 0.750 0.500
Rh1 Rh 0.000 0.500 0.000
Rh2 Rh 0.500 0.000 0.000
```

Entry 4:
Density functional theory data (PBE) for an optimized crystal structure of BaCoRh2Se.

Calculated values
- mass density (Mg/m³) = 7.44
- E_form (uncorrected) (meV/atom) = 117
- symmetry = P4/mmm, No. 123

```
data_BaCoRh2Se
_chemical_formula_sum 'Ba1 Co1 Rh2 Se1'
_cell_length_a 4.764
_cell_length_b 4.764
_cell_length_c 4.733
_cell_angle_alpha 90.00
_cell_angle_beta 90.00
_cell_angle_gamma 90.00
_symmetry_space_group_name_H-M 'P 1'
_symmetry_Int_Tables_number 1
_symmetry_space_group_name_Hall 'P 1'
loop_
_atom_site_label
_atom_site_type_symbol
_atom_site_fract_x
_atom_site_fract_y
_atom_site_fract_z
Ba1 Ba 0.000 0.000 0.000
Co1 Co 0.500 0.500 0.500
Rh1 Rh 0.000 0.500 0.500
Rh2 Rh 0.500 0.000 0.500
Se1 Se 0.500 0.500 0.000
```

Entry 5:
Density functional theory data (PBE) for an optimized crystal structure of BaCo2RhSe8.

Calculated values
- mass density (Mg/m³) = 6.01
- E_form (uncorrected) (meV/atom) = -380
- symmetry = P-3, No. 147

```
data_BaCo2RhSe8
_chemical_formula_sum 'Ba1 Co2 Rh1 Se8'
_cell_length_a 6.030
_cell_length_b 6.030
_cell_length_c 8.687
_cell_angle_alpha 90.00
_cell_angle_beta 90.00
_cell_angle_gamma 120.00
_symmetry_space_group_name_H-M 'P 1'
_symmetry_Int_Tables_number 1
_symmetry_space_group_name_Hall 'P 1'
loop_
_atom_site_label
_atom_site_type_symbol
_atom_site_fract_x
_atom_site_fract_y
_atom_site_fract_z
Ba1 Ba 0.000 0.000 0.000
Co1 Co 0.333 0.667 0.760
Co2 Co 0.667 0.333 0.240
Rh1 Rh 0.000 0.000 0.500
Se1 Se 0.013 0.652 0.349
Se2 Se 0.333 0.667 0.011
Se3 Se 0.348 0.361 0.349
Se4 Se 0.361 0.013 0.651
Se5 Se 0.639 0.987 0.349
Se6 Se 0.652 0.639 0.651
Se7 Se 0.667 0.333 0.989
Se8 Se 0.987 0.348 0.651
```

Entry 6:
Density functional theory data (PBE) for an optimized crystal structure of BaCoTc2Rh.

Calculated values
- mass density (Mg/m³) = 8.10
- calculated formation energy (eV/atom) = 1.004
- symmetry = P4/mmm, No. 123

```
data_BaCoTc2Rh
_chemical_formula_sum 'Ba1 Co1 Tc2 Rh1'
_cell_length_a 4.520
_cell_length_b 4.520
_cell_length_c 4.969
_cell_angle_alpha 90.00
_cell_angle_beta 90.00
_cell_angle_gamma 90.00
_symmetry_space_group_name_H-M 'P 1'
_symmetry_Int_Tables_number 1
_symmetry_space_group_name_Hall 'P 1'
loop_
_atom_site_label
_atom_site_type_symbol
_atom_site_fract_x
_atom_site_fract_y
_atom_site_fract_z
Ba1 Ba 0.000 0.000 0.000
Co1 Co 0.500 0.500 0.500
Tc1 Tc 0.000 0.500 0.500
Tc2 Tc 0.500 0.000 0.500
Rh1 Rh 0.500 0.500 0.000
```

Entry 7:
Density functional theory data (PBE) for an optimized crystal structure of BaCoRu.

Calculated values
- mass density (Mg/m³) = 7.44
- calculated formation energy (eV/atom) = 0.560
- symmetry = I4mm, No. 107

```
data_BaCoRu
_chemical_formula_sum 'Ba2 Co2 Ru2'
_cell_length_a 3.428
_cell_length_b 3.428
_cell_length_c 11.293
_cell_angle_alpha 90.00
_cell_angle_beta 90.00
_cell_angle_gamma 90.00
_symmetry_space_group_name_H-M 'P 1'
_symmetry_Int_Tables_number 1
_symmetry_space_group_name_Hall 'P 1'
loop_
_atom_site_label
_atom_site_type_symbol
_atom_site_fract_x
_atom_site_fract_y
_atom_site_fract_z
Ba1 Ba 0.000 0.000 0.000
Ba2 Ba 0.500 0.500 0.500
Co1 Co 0.000 0.000 0.271
Co2 Co 0.500 0.500 0.771
Ru1 Ru 0.000 0.000 0.728
Ru2 Ru 0.500 0.500 0.228
```

Entry 8:
Density functional theory data (PBE) for an optimized crystal structure of Ba2CoRu.

Calculated values
- mass density (Mg/m³) = 7.01
- calculated formation energy (eV/atom) = 0.934
- symmetry = F-43m, No. 216

```
data_Ba2CoRu
_chemical_formula_sum 'Ba8 Co4 Ru4'
_cell_length_a 7.439
_cell_length_b 7.439
_cell_length_c 7.439
_cell_angle_alpha 90.00
_cell_angle_beta 90.00
_cell_angle_gamma 90.00
_symmetry_space_group_name_H-M 'P 1'
_symmetry_Int_Tables_number 1
_symmetry_space_group_name_Hall 'P 1'
loop_
_atom_site_label
_atom_site_type_symbol
_atom_site_fract_x
_atom_site_fract_y
_atom_site_fract_z
Ba1 Ba 0.000 0.000 0.000
Ba2 Ba 0.000 0.500 0.500
Ba3 Ba 0.250 0.250 0.250
Ba4 Ba 0.250 0.750 0.750
Ba5 Ba 0.500 0.000 0.500
Ba6 Ba 0.500 0.500 0.000
Ba7 Ba 0.750 0.250 0.750
Ba8 Ba 0.750 0.750 0.250
Co1 Co 0.250 0.250 0.750
Co2 Co 0.250 0.750 0.250
Co3 Co 0.750 0.250 0.250
Co4 Co 0.750 0.750 0.750
Ru1 Ru 0.000 0.000 0.500
Ru2 Ru 0.000 0.500 0.000
Ru3 Ru 0.500 0.000 0.000
Ru4 Ru 0.500 0.500 0.500
```

Entry 9:
Density functional theory data (PBE) for an optimized crystal structure of BaCoRu.

Calculated values
- mass density (Mg/m³) = 7.00
- calculated formation energy (eV/atom) = 1.802
- symmetry = F-43m, No. 216

```
data_BaCoRu
_chemical_formula_sum 'Ba4 Co4 Ru4'
_cell_length_a 6.560
_cell_length_b 6.560
_cell_length_c 6.560
_cell_angle_alpha 90.00
_cell_angle_beta 90.00
_cell_angle_gamma 90.00
_symmetry_space_group_name_H-M 'P 1'
_symmetry_Int_Tables_number 1
_symmetry_space_group_name_Hall 'P 1'
loop_
_atom_site_label
_atom_site_type_symbol
_atom_site_fract_x
_atom_site_fract_y
_atom_site_fract_z
Ba1 Ba 0.000 0.000 0.000
Ba2 Ba 0.000 0.500 0.500
Ba3 Ba 0.500 0.000 0.500
Ba4 Ba 0.500 0.500 0.000
Co1 Co 0.250 0.250 0.750
Co2 Co 0.250 0.750 0.250
Co3 Co 0.750 0.250 0.250
Co4 Co 0.750 0.750 0.750
Ru1 Ru 0.250 0.250 0.250
Ru2 Ru 0.250 0.750 0.750
Ru3 Ru 0.750 0.250 0.750
Ru4 Ru 0.750 0.750 0.250
```

Entry 10:
Density functional theory data (PBE) for an optimized crystal structure of BaCo2Ru.

Calculated values
- mass density (Mg/m³) = 6.55
- calculated formation energy (eV/atom) = 0.621
- symmetry = Pm, No. 6

```
data_BaCo2Ru
_chemical_formula_sum 'Ba1 Co2 Ru1'
_cell_length_a 4.310
_cell_length_b 4.001
_cell_length_c 5.370
_cell_angle_alpha 90.00
_cell_angle_beta 102.75
_cell_angle_gamma 90.00
_symmetry_space_group_name_H-M 'P 1'
_symmetry_Int_Tables_number 1
_symmetry_space_group_name_Hall 'P 1'
loop_
_atom_site_label
_atom_site_type_symbol
_atom_site_fract_x
_atom_site_fract_y
_atom_site_fract_z
Ba1 Ba 0.000 0.000 0.000
Co1 Co 0.305 0.500 0.614
Co2 Co 0.501 0.000 0.497
Ru1 Ru 0.780 0.500 0.445
```

Entry 11:
Density functional theory data (PBE) for an optimized crystal structure of BaCo2Ru.

Calculated values
- mass density (Mg/m³) = 7.84
- calculated formation energy (eV/atom) = 0.897
- symmetry = Imm2, No. 44

```
data_BaCo2Ru
_chemical_formula_sum 'Ba2 Co4 Ru2'
_cell_length_a 3.055
_cell_length_b 5.237
_cell_length_c 9.428
_cell_angle_alpha 90.00
_cell_angle_beta 90.00
_cell_angle_gamma 90.00
_symmetry_space_group_name_H-M 'P 1'
_symmetry_Int_Tables_number 1
_symmetry_space_group_name_Hall 'P 1'
loop_
_atom_site_label
_atom_site_type_symbol
_atom_site_fract_x
_atom_site_fract_y
_atom_site_fract_z
Ba1 Ba 0.000 0.000 0.000
Ba2 Ba 0.500 0.500 0.500
Co1 Co 0.000 0.000 0.509
Co2 Co 0.000 0.500 0.201
Co3 Co 0.500 0.000 0.701
Co4 Co 0.500 0.500 0.009
Ru1 Ru 0.000 0.500 0.801
Ru2 Ru 0.500 0.000 0.301
```

Entry 12:
Density functional theory data (PBE) for an optimized crystal structure of Ba2CoRu.

Calculated values
- mass density (Mg/m³) = 5.32
- calculated formation energy (eV/atom) = 0.201
- symmetry = Cm, No. 8

```
data_Ba2CoRu
_chemical_formula_sum 'Ba4 Co2 Ru2'
_cell_length_a 7.318
_cell_length_b 4.225
_cell_length_c 9.083
_cell_angle_alpha 90.00
_cell_angle_beta 105.12
_cell_angle_gamma 90.00
_symmetry_space_group_name_H-M 'P 1'
_symmetry_Int_Tables_number 1
_symmetry_space_group_name_Hall 'P 1'
loop_
_atom_site_label
_atom_site_type_symbol
_atom_site_fract_x
_atom_site_fract_y
_atom_site_fract_z
Ba1 Ba 0.000 0.000 0.000
Ba2 Ba 0.163 0.000 0.505
Ba3 Ba 0.500 0.500 0.000
Ba4 Ba 0.663 0.500 0.505
Co1 Co 0.248 0.500 0.253
Co2 Co 0.748 0.000 0.253
Ru1 Ru 0.415 0.000 0.252
Ru2 Ru 0.915 0.500 0.252
```